(a)
# ZrHg2F8 GGA-PBE optimized geometry
# **Magnetization**: 0.0 Bohr magnetons per cell
# **ρ**: 7.249 g/cm3
data_ZrHg2F8
_chemical_formula_sum 'Zr2 Hg4 F16'
_symmetry_space_group_name_H-M 'C 1 2/m 1'
_symmetry_Int_Tables_number 12
_symmetry_space_group_name_Hall '-C 2y'
_cell_length_a 15.754
_cell_length_b 3.725
_cell_length_c 5.204
_cell_angle_alpha 90.00
_cell_angle_beta 104.83
_cell_angle_gamma 90.00
loop_
_atom_site_label
_atom_site_fract_x
_atom_site_fract_y
_atom_site_fract_z
Zr1 0.000 0.000 0.000
Hg1 0.174 0.500 0.673
F1 0.020 0.500 0.799
F2 0.090 0.000 0.371
F3 0.125 0.000 0.910
F4 0.234 0.500 0.279


(b)
# ZrHg2F8 GGA-PBE optimized geometry
# **Magnetization**: 0.0 Bohr magnetons per cell
# **ρ**: 5.914 g/cm3
data_ZrHg2F8
_chemical_formula_sum 'Zr2 Hg4 F16'
_symmetry_space_group_name_H-M 'C 1 2/m 1'
_symmetry_Int_Tables_number 12
_symmetry_space_group_name_Hall '-C 2y'
_cell_length_a 11.746
_cell_length_b 3.823
_cell_length_c 8.370
_cell_angle_alpha 90.00
_cell_angle_beta 105.69
_cell_angle_gamma 90.00
loop_
_atom_site_label
_atom_site_fract_x
_atom_site_fract_y
_atom_site_fract_z
Zr1 0.000 0.000 0.000
Hg1 0.235 0.000 0.685
F1 0.053 0.500 0.137
F2 0.083 0.000 0.815
F3 0.166 0.500 0.532
F4 0.184 0.000 0.138


Quick one: least stable of them? (a)


(a)
# Zr2HgF GGA-PBE optimized geometry
# **Magnetization**: 0.0 Bohr magnetons per cell
# **ρ**: 7.308 g/cm3
data_Zr2HgF
_chemical_formula_sum 'Zr8 Hg4 F4'
_symmetry_space_group_name_H-M 'I -4 2 d'
_symmetry_Int_Tables_number 122
_symmetry_space_group_name_Hall 'I -4 2bw'
_cell_length_a 5.180
_cell_length_b 5.180
_cell_length_c 13.617
_cell_angle_alpha 90.00
_cell_angle_beta 90.00
_cell_angle_gamma 90.00
loop_
_atom_site_label
_atom_site_fract_x
_atom_site_fract_y
_atom_site_fract_z
Zr1 0.130 0.250 0.125
Hg1 0.000 0.000 0.500
F1 0.000 0.000 0.000


(b)
# Zr2HgF GGA-PBE optimized geometry
# **Magnetization**: 0.0 Bohr magnetons per cell
# **ρ**: 8.655 g/cm3
data_Zr2HgF
_chemical_formula_sum 'Zr8 Hg4 F4'
_symmetry_space_group_name_H-M 'F m -3 m'
_symmetry_Int_Tables_number 225
_symmetry_space_group_name_Hall '-F 4 2 3'
_cell_length_a 6.757
_cell_length_b 6.757
_cell_length_c 6.757
_cell_angle_alpha 90.00
_cell_angle_beta 90.00
_cell_angle_gamma 90.00
loop_
_atom_site_label
_atom_site_fract_x
_atom_site_fract_y
_atom_site_fract_z
Zr1 0.250 0.250 0.250
Hg1 0.000 0.000 0.000
F1 0.000 0.000 0.500


Quick one: least stable of them? (a)


(a)
# ZrHgF2 GGA-PBE optimized geometry
# **Magnetization**: 8.0 Bohr magnetons per cell
# **ρ**: 8.517 g/cm3
data_ZrHgF2
_chemical_formula_sum 'Zr4 Hg4 F8'
_symmetry_space_group_name_H-M 'F m -3 m'
_symmetry_Int_Tables_number 225
_symmetry_space_group_name_Hall '-F 4 2 3'
_cell_length_a 6.360
_cell_length_b 6.360
_cell_length_c 6.360
_cell_angle_alpha 90.00
_cell_angle_beta 90.00
_cell_angle_gamma 90.00
loop_
_atom_site_label
_atom_site_fract_x
_atom_site_fract_y
_atom_site_fract_z
Zr1 0.000 0.000 0.000
Hg1 0.000 0.000 0.500
F1 0.250 0.250 0.250


(b)
# ZrHgF2 GGA-PBE optimized geometry
# **Magnetization**: 0.0 Bohr magnetons per cell
# **ρ**: 8.345 g/cm3
data_ZrHgF2
_chemical_formula_sum 'Zr3 Hg3 F6'
_symmetry_space_group_name_H-M 'R -3 m'
_symmetry_Int_Tables_number 166
_symmetry_space_group_name_Hall '-R 3 2"'
_cell_length_a 2.9486
_cell_length_b 2.9486
_cell_length_c 26.1484
_cell_angle_alpha 90.00
_cell_angle_beta 90.00
_cell_angle_gamma 120.00
loop_
_atom_site_label
_atom_site_fract_x
_atom_site_fract_y
_atom_site_fract_z
Zr1 0.0000 0.0000 0.0000
Hg1 0.0000 0.0000 0.5000
F1 0.0000 0.0000 0.3919


Quick one: least stable of them? (a)


(a)
# ZrHgF3 GGA-PBE optimized geometry
# **Magnetization**: 2.5 Bohr magnetons per cell
# **ρ**: 6.018 g/cm3
data_ZrHgF3
_chemical_formula_sum 'Zr1 Hg1 F3'
_symmetry_space_group_name_H-M 'P m -3 m'
_symmetry_Int_Tables_number 221
_symmetry_space_group_name_Hall '-P 4 2 3'
_cell_length_a 4.583
_cell_length_b 4.583
_cell_length_c 4.583
_cell_angle_alpha 90.00
_cell_angle_beta 90.00
_cell_angle_gamma 90.00
loop_
_atom_site_label
_atom_site_fract_x
_atom_site_fract_y
_atom_site_fract_z
Zr1 0.000 0.000 0.000
Hg1 0.500 0.500 0.500
F1 0.000 0.500 0.500


(b)
# ZrHgF3 GGA-PBE optimized geometry
# **Magnetization**: 1.0 Bohr magnetons per cell
# **ρ**: 6.858 g/cm3
data_ZrHgF3
_chemical_formula_sum 'Zr1 Hg1 F3'
_symmetry_space_group_name_H-M 'P m -3 m'
_symmetry_Int_Tables_number 221
_symmetry_space_group_name_Hall '-P 4 2 3'
_cell_length_a 4.387
_cell_length_b 4.387
_cell_length_c 4.387
_cell_angle_alpha 90.00
_cell_angle_beta 90.00
_cell_angle_gamma 90.00
loop_
_atom_site_label
_atom_site_fract_x
_atom_site_fract_y
_atom_site_fract_z
Zr1 0.000 0.000 0.000
Hg1 0.500 0.500 0.500
F1 0.000 0.000 0.500


Quick one: least stable of them? (a)


(a)
# HoIF2 GGA-PBE optimized geometry
# **Magnetization**: 0.0 Bohr magnetons per cell
# **ρ**: 6.917 g/cm3
data_HoIF2
_chemical_formula_sum 'Ho4 I4 F8'
_symmetry_space_group_name_H-M 'C m c m'
_symmetry_Int_Tables_number 63
_symmetry_space_group_name_Hall '-C 2c 2'
_cell_length_a 3.794
_cell_length_b 11.752
_cell_length_c 7.103
_cell_angle_alpha 90.00
_cell_angle_beta 90.00
_cell_angle_gamma 90.00
loop_
_atom_site_label
_atom_site_fract_x
_atom_site_fract_y
_atom_site_fract_z
Ho1 0.000 0.246 0.250
I1 0.000 0.044 0.750
F1 0.000 0.302 0.575


(b)
# HoIF2 GGA-PBE optimized geometry
# **Magnetization**: 0.0 Bohr magnetons per cell
# **ρ**: 7.154 g/cm3
data_HoIF2
_chemical_formula_sum 'Ho3 I3 F6'
_symmetry_space_group_name_H-M 'R -3 m'
_symmetry_Int_Tables_number 166
_symmetry_space_group_name_Hall '-R 3 2"'
_cell_length_a 3.9564
_cell_length_b 3.9564
_cell_length_c 16.9425
_cell_angle_alpha 90.00
_cell_angle_beta 90.00
_cell_angle_gamma 120.00
loop_
_atom_site_label
_atom_site_fract_x
_atom_site_fract_y
_atom_site_fract_z
Ho1 0.0000 0.0000 0.0000
I1 0.0000 0.0000 0.5000
F1 0.0000 0.0000 0.3071


Quick one: least stable of them? (b)


(a)
# NaLiHo2F8 GGA-PBE optimized geometry
# **Magnetization**: 0.0 Bohr magnetons per cell
# **ρ**: 5.477 g/cm3
data_NaLiHo2F8
_chemical_formula_sum 'Na4 Li4 Ho8 F32'
_symmetry_space_group_name_H-M 'C m c m'
_symmetry_Int_Tables_number 63
_symmetry_space_group_name_Hall '-C 2c 2'
_cell_length_a 10.516
_cell_length_b 8.334
_cell_length_c 7.081
_cell_angle_alpha 90.00
_cell_angle_beta 90.00
_cell_angle_gamma 90.00
loop_
_atom_site_label
_atom_site_fract_x
_atom_site_fract_y
_atom_site_fract_z
Na1 0.000 0.159 0.250
Li1 0.000 0.500 0.000
Ho1 0.187 0.236 0.750
F1 0.000 0.109 0.750
F2 0.000 0.412 0.750
F3 0.138 0.298 0.050
F4 0.220 0.027 0.250


(b)
# NaLiHo2F8 GGA-PBE optimized geometry
# **Magnetization**: 0.0 Bohr magnetons per cell
# **ρ**: 5.461 g/cm3
data_NaLiHo2F8
_chemical_formula_sum 'Na1 Li1 Ho2 F8'
_symmetry_space_group_name_H-M 'P -1'
_symmetry_Int_Tables_number 2
_symmetry_space_group_name_Hall '-P 1'
_cell_length_a 3.805
_cell_length_b 5.441
_cell_length_c 7.548
_cell_angle_alpha 84.77
_cell_angle_beta 89.94
_cell_angle_gamma 89.42
loop_
_atom_site_label
_atom_site_fract_x
_atom_site_fract_y
_atom_site_fract_z
Na1 0.000 0.000 0.000
Li1 0.000 0.000 0.500
Ho1 0.500 0.471 0.254
F1 0.003 0.316 0.764
F2 0.004 0.216 0.277
F3 0.493 0.740 0.476
F4 0.498 0.734 0.990


Quick one: least stable of them? (b)


(a)
# HoSbF GGA-PBE optimized geometry
# **Magnetization**: 0.0 Bohr magnetons per cell
# **ρ**: 7.940 g/cm3
data_HoSbF
_chemical_formula_sum 'Ho1 Sb1 F1'
_symmetry_space_group_name_H-M 'P -6 m 2'
_symmetry_Int_Tables_number 187
_symmetry_space_group_name_Hall 'P -6 2'
_cell_length_a 3.9242
_cell_length_b 3.9242
_cell_length_c 4.7938
_cell_angle_alpha 90.00
_cell_angle_beta 90.00
_cell_angle_gamma 120.00
loop_
_atom_site_label
_atom_site_fract_x
_atom_site_fract_y
_atom_site_fract_z
Ho1 0.0000 0.0000 0.0000
Sb1 0.6667 0.3333 0.5000
F1 0.3333 0.6667 0.0000


(b)
# HoSbF GGA-PBE optimized geometry
# **Magnetization**: 0.0 Bohr magnetons per cell
# **ρ**: 7.248 g/cm3
data_HoSbF
_chemical_formula_sum 'Ho4 Sb4 F4'
_symmetry_space_group_name_H-M 'C 1 2/m 1'
_symmetry_Int_Tables_number 12
_symmetry_space_group_name_Hall '-C 2y'
_cell_length_a 10.976
_cell_length_b 3.833
_cell_length_c 8.139
_cell_angle_alpha 90.00
_cell_angle_beta 125.11
_cell_angle_gamma 90.00
loop_
_atom_site_label
_atom_site_fract_x
_atom_site_fract_y
_atom_site_fract_z
Ho1 0.180 0.000 0.256
Sb1 0.112 0.500 0.898
F1 0.209 0.000 0.567


Quick one: least stable of them? (a)